{"formula": "Dy", "functional": "PBEsol", "state": "relaxed", "lattice_angstrom": [[3.5250, 0.0000, 0.0000], [-1.7625, 3.0527, 0.0000], [0.0000, 0.0000, 5.5328]], "species": ["Dy", "Dy"], "fractional_positions": [[0.3333, 0.6667, 0.2500], [0.6667, 0.3333, 0.7500]], "delta_e_f_ev_per_atom": 0.015, "e_tot_ev_per_atom": -4.9637, "e_above_lowest_polymorph_ev_per_atom": 0.015}